LiBPb: relaxed, PBE.

```
LiBPb
1.0
10.328 0.000 0.037
4.388 1.910 -2.829
-4.388 1.910 2.829
Pb B Li
2 2 2
Direct
0.346 0.643 0.357
0.612 0.154 0.846
0.126 0.608 0.392
0.184 0.410 0.590
0.004 0.351 0.649
0.935 0.159 0.841
```

Results
Crystal system: monoclinic
Energy of formation from the pure elements: 34.7 kJ per mole of atoms